[1]
The following is a PBE calculation of crystalline Dy4Y2ErNi2Te2 at its relaxed geometry, from OQMD via LeMat-Bulk.

Values from the calculation:
**Crystal system**: orthorhombic

The structure in CIF format:
```
data_Dy4Y2ErNi2Te2
_chemical_formula_sum 'Dy8 Y4 Er2 Ni4 Te4'
_cell_length_a 3.855
_cell_length_b 15.648
_cell_length_c 9.592
_cell_angle_alpha 90.00
_cell_angle_beta 90.00
_cell_angle_gamma 90.00
_symmetry_space_group_name_H-M 'I m m 2'
_symmetry_Int_Tables_number 44
_symmetry_space_group_name_Hall 'I 2 -2'
loop_
_atom_site_label
_atom_site_fract_x
_atom_site_fract_y
_atom_site_fract_z
_atom_site_occupancy
Dy1 0.000 0.131 0.000 1
Dy2 0.000 0.316 0.201 1
Y1 0.000 0.354 0.850 1
Er1 0.000 0.000 0.582 1
Ni1 0.000 0.239 0.510 1
Te1 0.000 0.000 0.246 1
Te2 0.000 0.500 0.346 1
```

***

[2]
The following is a PBE calculation of crystalline Dy3Y2Er2Ni2Te2 at its relaxed geometry, from OQMD via LeMat-Bulk.

Values from the calculation:
**Crystal system**: orthorhombic

The structure in CIF format:
```
data_Dy3Y2Er2Ni2Te2
_chemical_formula_sum 'Dy6 Y4 Er4 Ni4 Te4'
_cell_length_a 3.844
_cell_length_b 15.607
_cell_length_c 9.559
_cell_angle_alpha 90.00
_cell_angle_beta 90.00
_cell_angle_gamma 90.00
_symmetry_space_group_name_H-M 'I m m 2'
_symmetry_Int_Tables_number 44
_symmetry_space_group_name_Hall 'I 2 -2'
loop_
_atom_site_label
_atom_site_fract_x
_atom_site_fract_y
_atom_site_fract_z
_atom_site_occupancy
Dy1 0.000 0.000 0.000 1
Dy2 0.000 0.315 0.619 1
Y1 0.000 0.131 0.418 1
Er1 0.000 0.353 0.269 1
Ni1 0.000 0.238 0.928 1
Te1 0.000 0.000 0.665 1
Te2 0.000 0.500 0.764 1
```

***

[3]
The following is a PBE calculation of crystalline DyY4Er2Ni2Te2 at its relaxed geometry, from OQMD via LeMat-Bulk.

Values from the calculation:
**Crystal system**: orthorhombic

The structure in CIF format:
```
data_DyY4Er2Ni2Te2
_chemical_formula_sum 'Dy2 Y8 Er4 Ni4 Te4'
_cell_length_a 3.852
_cell_length_b 15.597
_cell_length_c 9.577
_cell_angle_alpha 90.00
_cell_angle_beta 90.00
_cell_angle_gamma 90.00
_symmetry_space_group_name_H-M 'I m m 2'
_symmetry_Int_Tables_number 44
_symmetry_space_group_name_Hall 'I 2 -2'
loop_
_atom_site_label
_atom_site_fract_x
_atom_site_fract_y
_atom_site_fract_z
_atom_site_occupancy
Dy1 0.000 0.000 0.000 1
Y1 0.000 0.316 0.620 1
Y2 0.000 0.354 0.268 1
Er1 0.000 0.132 0.418 1
Ni1 0.000 0.239 0.928 1
Te1 0.000 0.000 0.663 1
Te2 0.000 0.500 0.765 1
```

***

[4]
The following is a PBE calculation of crystalline Dy4Y2ErNi2Te2 at its relaxed geometry, from OQMD via LeMat-Bulk.

Values from the calculation:
**Crystal system**: orthorhombic

The structure in CIF format:
```
data_Dy4Y2ErNi2Te2
_chemical_formula_sum 'Dy8 Y4 Er2 Ni4 Te4'
_cell_length_a 3.846
_cell_length_b 15.663
_cell_length_c 9.561
_cell_angle_alpha 90.00
_cell_angle_beta 90.00
_cell_angle_gamma 90.00
_symmetry_space_group_name_H-M 'I m m 2'
_symmetry_Int_Tables_number 44
_symmetry_space_group_name_Hall 'I 2 -2'
loop_
_atom_site_label
_atom_site_fract_x
_atom_site_fract_y
_atom_site_fract_z
_atom_site_occupancy
Dy1 0.000 0.147 0.000 1
Dy2 0.000 0.185 0.349 1
Y1 0.000 0.369 0.148 1
Er1 0.000 0.500 0.730 1
Ni1 0.000 0.263 0.658 1
Te1 0.000 0.000 0.493 1
Te2 0.000 0.500 0.394 1
```

***

| no. | VASP energy (eV per atom) | total moment (μB per formula unit) | ΔE to the lowest computed polymorph (meV/atom) |
| --- | --- | --- | --- |
| 1 | -5.521 | 0.007 | 0 |
| 2 | -5.520 | 0.009 | 7 |
| 3 | -5.860 | 0.011 | 9 |
| 4 | -5.520 | 0.008 | 1 |